No. 1
The following is a DFT calculation (PBE) of BaMnCoCu2 after structural relaxation.

Summary:
Calculated formation energy ... 1.00 eV per atom
N(E_F) ... 6.26 states/eV/cell
Calculated volume ... 116.11 Å³/cell

Unit cell a=4.7221 b=4.7221 c=5.2070 alpha=90.00 beta=90.00 gamma=90.00
Space group P4/mmm (No. 123)
Inequivalent atoms, fractional coordinates:
Ba1 0.0000 0.0000 0.0000 (multiplicity 1)
Mn1 0.5000 0.5000 0.0000 (multiplicity 1)
Co1 0.0000 0.0000 0.5000 (multiplicity 1)
Cu1 0.0000 0.5000 0.5000 (multiplicity 2)

No. 2
The following is a DFT calculation (PBE) of Ba2CoCuMo after structural relaxation.

Summary:
Calculated formation energy ... 1.09 eV per atom
N(E_F) ... 4.60 states/eV/cell
Calculated volume ... 157.79 Å³/cell

Unit cell a=5.8799 b=5.8799 c=4.5639 alpha=90.00 beta=90.00 gamma=90.00
Space group P4/mmm (No. 123)
Inequivalent atoms, fractional coordinates:
Ba1 0.0000 0.5000 0.0000 (multiplicity 2)
Co1 0.0000 0.0000 0.0000 (multiplicity 1)
Cu1 0.0000 0.0000 0.5000 (multiplicity 1)
Mo1 0.5000 0.5000 0.5000 (multiplicity 1)